1.
Density functional theory data (PBE) for a relaxed Ba2CaTa crystal.

Unit cell a=6.5400 b=6.5400 c=3.6066 alpha=90.00 beta=90.00 gamma=110.40
Fractional positions:
Ta  0.0000  0.5000  0.5000
Ca  0.5000  0.0000  0.5000
Ba  0.0000  0.0000  0.0000
Ba  0.5000  0.5000  0.0000

Density: 5.69 g/cm³
Energy of formation from the pure elements: 977 meV/atom


2.
Density functional theory data (PBE) for a relaxed Sr5La crystal.

Unit cell a=11.0758 b=11.0758 c=6.7802 alpha=90.00 beta=90.00 gamma=158.68
Fractional positions:
Sr  0.3400  0.6600  0.0000
La  0.0016  0.9984  0.0000
Sr  0.1060  0.8940  0.5000
Sr  0.4460  0.5540  0.5000
Sr  0.6628  0.3372  0.0000
Sr  0.7769  0.2231  0.5000

Density: 3.17 g/cm³
Energy of formation from the pure elements: 89 meV/atom